## CsTmGeSe3 (GGA-PBE)

Data for CsTmGeSe3 after structural relaxation.

Values from the calculation:
- VASP energy (eV/atom) = -4.661
- theoretical density (kg/m³) = 5109
- E above lowest polymorph (eV per atom) = 0.000

Lattice parameters (Å, degrees): 16.7808 4.0663 11.6485 90.00 90.00 90.00
Closest atoms and distances in Å follow each position.
Space group Pnma (No. 62)
One atom of each set of equivalent atoms:
Cs: 0.2286 0.2500 0.0738  7 Se 3.59-3.98, 1 Ge 3.77
Tm: 0.0101 0.7500 0.6469  6 Se 2.80-2.88
Ge: 0.0325 0.2500 0.9160  3 Se 2.48-2.67
Se: 0.0757 0.7500 0.2293  1 Ge 2.48
Se: 0.0972 0.2500 0.5369  3 Tm 2.80-2.81
Se: 0.1195 0.7500 0.8363  2 Ge 2.67, 1 Tm 2.87